Density functional theory data (GGA-PBE) for crystalline ZnSbH2 at its relaxed geometry.

Results
- total energy (eV/cell) = -23.48
- volume (Å³/cell) = 155.2

a b c (Å): 4.6239 6.2467 6.3327
angles (deg): 112.57 111.36 90.05
Sites, in units of the cell vectors:
Zn 0.0000 0.0000 0.0000
Zn 0.1727 0.4997 0.3389
Sb 0.4097 0.8010 0.8189
Sb 0.5987 0.6154 0.1911
H 0.1474 0.2139 0.2925
H 0.7128 0.8994 0.4208
H 0.8162 0.2455 0.6284
H 0.8619 0.3681 0.7309

***

Density functional theory data (GGA-PBE) for crystalline ZnSbH at its relaxed geometry.

Results
- total energy (eV/cell) = -31.62
- volume (Å³/cell) = 228.5

a b c (Å): 7.1326 4.2808 7.4828
angles (deg): 90.00 90.00 90.00
Sites, in units of the cell vectors:
Zn 0.0738 0.2500 0.1275
Zn 0.4262 0.7500 0.6275
Zn 0.5738 0.2500 0.3725
Zn 0.9262 0.7500 0.8725
Sb 0.2080 0.2500 0.4613
Sb 0.2920 0.7500 0.9613
Sb 0.7080 0.2500 0.0387
Sb 0.7920 0.7500 0.5387
H 0.2376 0.7500 0.4658
H 0.2624 0.2500 0.9658
H 0.7376 0.7500 0.0342
H 0.7624 0.2500 0.5342

***

Density functional theory data (GGA-PBE) for crystalline ZnSbH2 at its relaxed geometry.

Results
- total energy (eV/cell) = -36.79
- volume (Å³/cell) = 196.6

a b c (Å): 5.8151 5.8151 5.8151
angles (deg): 90.00 90.00 90.00
Sites, in units of the cell vectors:
Zn 0.0000 0.0000 0.0000
Zn 0.0000 0.5000 0.5000
Zn 0.5000 0.0000 0.5000
Zn 0.5000 0.5000 0.0000
Sb 0.0000 0.0000 0.5000
Sb 0.0000 0.5000 0.0000
Sb 0.5000 0.0000 0.0000
Sb 0.5000 0.5000 0.5000
H 0.2500 0.2500 0.2500
H 0.2500 0.2500 0.7500
H 0.2500 0.7500 0.2500
H 0.2500 0.7500 0.7500
H 0.7500 0.2500 0.2500
H 0.7500 0.2500 0.7500
H 0.7500 0.7500 0.2500
H 0.7500 0.7500 0.7500

***

Density functional theory data (GGA-PBE) for crystalline ZnSb2H2 at its relaxed geometry.

Results
- total energy (eV/cell) = -27.55
- volume (Å³/cell) = 157.6

a b c (Å): 3.4661 3.4661 13.1174
angles (deg): 90.00 90.00 90.00
Sites, in units of the cell vectors:
Zn 0.0000 0.0000 0.0000
Zn 0.5000 0.5000 0.5000
Sb 0.0000 0.0000 0.3645
Sb 0.0000 0.0000 0.6355
Sb 0.5000 0.5000 0.1355
Sb 0.5000 0.5000 0.8645
H 0.0000 0.5000 0.2500
H 0.0000 0.5000 0.7500
H 0.5000 0.0000 0.2500
H 0.5000 0.0000 0.7500

***

Density functional theory data (GGA-PBE) for crystalline ZnSbH at its relaxed geometry.

Results
- total energy (eV/cell) = -17.04
- volume (Å³/cell) = 124.9

a b c (Å): 2.9614 3.1391 13.5649
angles (deg): 95.80 95.16 90.07
Sites, in units of the cell vectors:
Zn 0.0000 0.0000 0.0000
Zn 0.4535 0.4499 0.8814
Sb 0.0914 0.0928 0.1970
Sb 0.3606 0.3617 0.6844
H 0.6751 0.6985 0.4625
H 0.7793 0.7774 0.4190

***

Density functional theory data (GGA-PBE) for crystalline ZnSbH2 at its relaxed geometry.

Results
- total energy (eV/cell) = -11.66
- volume (Å³/cell) = 61.5

a b c (Å): 3.2422 4.6804 4.6821
angles (deg): 119.99 90.03 90.12
Sites, in units of the cell vectors:
Zn 0.0000 0.0000 0.0000
Sb 0.0000 0.6667 0.3336
H 0.3836 0.3239 0.6604
H 0.6165 0.3429 0.6743

***

Density functional theory data (GGA-PBE) for crystalline ZnSb3H at its relaxed geometry.

Results
- total energy (eV/cell) = -14.65
- volume (Å³/cell) = 105.3

a b c (Å): 4.7220 4.7220 4.7220
angles (deg): 90.00 90.00 90.00
Sites, in units of the cell vectors:
Zn 0.0000 0.0000 0.0000
Sb 0.0000 0.5000 0.5000
Sb 0.5000 0.0000 0.5000
Sb 0.5000 0.5000 0.0000
H 0.5000 0.5000 0.5000

***

Density functional theory data (GGA-PBE) for crystalline Zn2SbH at its relaxed geometry.

Results
- total energy (eV/cell) = -37.13
- volume (Å³/cell) = 276.4

a b c (Å): 4.8041 4.8041 11.9773
angles (deg): 90.00 90.00 90.00
Sites, in units of the cell vectors:
Zn 0.1029 0.2500 0.1250
Zn 0.2500 0.6029 0.3750
Zn 0.2500 0.8971 0.8750
Zn 0.3971 0.2500 0.6250
Zn 0.6029 0.7500 0.6250
Zn 0.7500 0.1029 0.8750
Zn 0.7500 0.3971 0.3750
Zn 0.8971 0.7500 0.1250
Sb 0.0000 0.0000 0.5000
Sb 0.0000 0.5000 0.7500
Sb 0.5000 0.0000 0.2500
Sb 0.5000 0.5000 0.0000
H 0.0000 0.0000 0.0000
H 0.0000 0.5000 0.2500
H 0.5000 0.0000 0.7500
H 0.5000 0.5000 0.5000

***

Density functional theory data (GGA-PBE) for crystalline ZnSbH at its relaxed geometry.

Results
- total energy (eV/cell) = -16.04
- volume (Å³/cell) = 119.9

a b c (Å): 4.0210 4.0210 7.4143
angles (deg): 90.00 90.00 90.00
Sites, in units of the cell vectors:
Zn 0.0000 0.0000 0.0000
Zn 0.5000 0.5000 0.5000
Sb 0.0000 0.0000 0.4943
Sb 0.5000 0.5000 0.9943
H 0.0000 0.0000 0.2540
H 0.5000 0.5000 0.7540

***

Density functional theory data (GGA-PBE) for crystalline Zn3SbH at its relaxed geometry.

Results
- total energy (eV/cell) = -9.81
- volume (Å³/cell) = 79.5

a b c (Å): 4.3003 4.3003 4.3003
angles (deg): 90.00 90.00 90.00
Sites, in units of the cell vectors:
Zn 0.0000 0.0000 0.5000
Zn 0.0000 0.5000 0.0000
Zn 0.5000 0.0000 0.0000
Sb 0.5000 0.5000 0.5000
H 0.0000 0.0000 0.0000

***

Density functional theory data (GGA-PBE) for crystalline Zn3SbH at its relaxed geometry.

Results
- total energy (eV/cell) = -7.32
- volume (Å³/cell) = 153.5

a b c (Å): 5.3545 5.3545 5.3545
angles (deg): 90.00 90.00 90.00
Sites, in units of the cell vectors:
Zn 0.0000 0.0000 0.5000
Zn 0.0000 0.5000 0.0000
Zn 0.5000 0.0000 0.0000
Sb 0.0000 0.0000 0.0000
H 0.5000 0.5000 0.5000

***

Density functional theory data (GGA-PBE) for crystalline Zn3Sb2H2 at its relaxed geometry.

Results
- total energy (eV/cell) = -17.60
- volume (Å³/cell) = 134.8

a b c (Å): 3.0872 6.6180 6.6462
angles (deg): 83.18 89.54 89.91
Sites, in units of the cell vectors:
Zn 0.0000 0.0000 0.0000
Zn 0.0080 0.2844 0.3011
Zn 0.9920 0.7156 0.6989
Sb 0.0085 0.6977 0.2937
Sb 0.9915 0.3023 0.7063
H 0.4912 0.7975 0.7845
H 0.5088 0.2025 0.2155

***

Density functional theory data (GGA-PBE) for crystalline Zn2SbH at its relaxed geometry.

Results
- total energy (eV/cell) = -32.40
- volume (Å³/cell) = 270.5

a b c (Å): 6.4674 6.4674 6.4674
angles (deg): 90.00 90.00 90.00
Sites, in units of the cell vectors:
Zn 0.2500 0.2500 0.2500
Zn 0.2500 0.2500 0.7500
Zn 0.2500 0.7500 0.2500
Zn 0.2500 0.7500 0.7500
Zn 0.7500 0.2500 0.2500
Zn 0.7500 0.2500 0.7500
Zn 0.7500 0.7500 0.2500
Zn 0.7500 0.7500 0.7500
Sb 0.0000 0.0000 0.0000
Sb 0.0000 0.5000 0.5000
Sb 0.5000 0.0000 0.5000
Sb 0.5000 0.5000 0.0000
H 0.0000 0.0000 0.5000
H 0.0000 0.5000 0.0000
H 0.5000 0.0000 0.0000
H 0.5000 0.5000 0.5000

***

Density functional theory data (GGA-PBE) for crystalline ZnSbH at its relaxed geometry.

Results
- total energy (eV/cell) = -33.43
- volume (Å³/cell) = 248.3

a b c (Å): 7.3251 4.5966 7.3752
angles (deg): 90.00 90.00 90.00
Sites, in units of the cell vectors:
Zn 0.1249 0.2500 0.0037
Zn 0.3751 0.7500 0.5037
Zn 0.6249 0.2500 0.4963
Zn 0.8751 0.7500 0.9963
Sb 0.2385 0.7500 0.8487
Sb 0.2615 0.2500 0.3487
Sb 0.7385 0.7500 0.6513
Sb 0.7615 0.2500 0.1513
H 0.0839 0.2500 0.5042
H 0.4161 0.7500 0.0042
H 0.5839 0.2500 0.9958
H 0.9161 0.7500 0.4958

***

Density functional theory data (GGA-PBE) for crystalline ZnSbH2 at its relaxed geometry.

Results
- total energy (eV/cell) = -42.61
- volume (Å³/cell) = 226.5

a b c (Å): 5.4354 5.4354 7.6658
angles (deg): 90.00 90.00 90.00
Sites, in units of the cell vectors:
Zn 0.0000 0.0000 0.0000
Zn 0.0000 0.5000 0.2500
Zn 0.5000 0.0000 0.7500
Zn 0.5000 0.5000 0.5000
Sb 0.0000 0.0000 0.5000
Sb 0.0000 0.5000 0.7500
Sb 0.5000 0.0000 0.2500
Sb 0.5000 0.5000 0.0000
H 0.0036 0.2500 0.1250
H 0.2500 0.5036 0.3750
H 0.2500 0.9964 0.8750
H 0.4964 0.2500 0.6250
H 0.5036 0.7500 0.6250
H 0.7500 0.0036 0.8750
H 0.7500 0.4964 0.3750
H 0.9964 0.7500 0.1250

***

Density functional theory data (GGA-PBE) for crystalline ZnSbH2 at its relaxed geometry.

Results
- total energy (eV/cell) = -23.09
- volume (Å³/cell) = 149.5

a b c (Å): 4.6589 6.1232 6.1619
angles (deg): 116.97 97.88 100.02
Sites, in units of the cell vectors:
Zn 0.0000 0.0000 0.0000
Zn 0.4659 0.2448 0.9416
Sb 0.7860 0.7490 0.2160
Sb 0.8980 0.2026 0.6965
H 0.1271 0.6944 0.2987
H 0.3430 0.5463 0.6148
H 0.4004 0.1176 0.1310
H 0.4430 0.6405 0.5909

***

Density functional theory data (GGA-PBE) for crystalline Zn2SbH at its relaxed geometry.

Results
- total energy (eV/cell) = -28.57
- volume (Å³/cell) = 273.4

a b c (Å): 4.2574 4.2574 17.4196
angles (deg): 90.00 90.00 120.00
Sites, in units of the cell vectors:
Zn 0.0000 0.0000 0.0964
Zn 0.0000 0.0000 0.9036
Zn 0.3333 0.6667 0.5702
Zn 0.3333 0.6667 0.7631
Zn 0.6667 0.3333 0.2369
Zn 0.6667 0.3333 0.4298
Sb 0.0000 0.0000 0.5000
Sb 0.3333 0.6667 0.1667
Sb 0.6667 0.3333 0.8333
H 0.0000 0.0000 0.0000
H 0.3333 0.6667 0.6667
H 0.6667 0.3333 0.3333

***

Density functional theory data (GGA-PBE) for crystalline ZnSbH at its relaxed geometry.

Results
- total energy (eV/cell) = -17.22
- volume (Å³/cell) = 137.0

a b c (Å): 3.2760 4.2706 10.0804
angles (deg): 101.18 97.96 90.10
Sites, in units of the cell vectors:
Zn 0.2344 0.2323 0.4622
Zn 0.7656 0.7677 0.5378
Sb 0.1601 0.6535 0.2913
Sb 0.8399 0.3465 0.7087
H 0.4654 0.9883 0.0329
H 0.5346 0.0117 0.9671

***

Density functional theory data (GGA-PBE) for crystalline ZnSbH at its relaxed geometry.

Results
- total energy (eV/cell) = -17.23
- volume (Å³/cell) = 138.5

a b c (Å): 3.3042 4.3037 10.6788
angles (deg): 99.73 90.52 111.81
Sites, in units of the cell vectors:
Zn 0.0000 0.0000 0.0000
Zn 0.3179 0.6285 0.1294
Sb 0.0684 0.1293 0.2697
Sb 0.2493 0.4990 0.8598
H 0.2970 0.8843 0.5334
H 0.3542 0.8305 0.5925

***

Density functional theory data (GGA-PBE) for crystalline ZnSb3H at its relaxed geometry.

Results
- total energy (eV/cell) = -12.05
- volume (Å³/cell) = 146.9

a b c (Å): 5.2764 5.2764 5.2764
angles (deg): 90.00 90.00 90.00
Sites, in units of the cell vectors:
Zn 0.0000 0.0000 0.0000
Sb 0.0000 0.0000 0.5000
Sb 0.0000 0.5000 0.0000
Sb 0.5000 0.0000 0.0000
H 0.5000 0.5000 0.5000

***

Density functional theory data (GGA-PBE) for crystalline ZnSbH2 at its relaxed geometry.

Results
- total energy (eV/cell) = -23.52
- volume (Å³/cell) = 168.7

a b c (Å): 4.6321 6.3244 6.7309
angles (deg): 72.23 69.90 68.56
Sites, in units of the cell vectors:
Zn 0.0000 0.0000 0.0000
Zn 0.1632 0.2101 0.4674
Sb 0.4448 0.9132 0.1976
Sb 0.6188 0.4227 0.3437
H 0.0698 0.1271 0.7367
H 0.2786 0.5439 0.8609
H 0.3012 0.6424 0.7652
H 0.7770 0.3683 0.0804

***

Density functional theory data (GGA-PBE) for crystalline ZnSbH2 at its relaxed geometry.

Results
- total energy (eV/cell) = -23.54
- volume (Å³/cell) = 159.3

a b c (Å): 4.6539 6.2708 6.2967
angles (deg): 90.73 111.25 109.74
Sites, in units of the cell vectors:
Zn 0.0000 0.0000 0.0000
Zn 0.1247 0.3866 0.7172
Sb 0.7857 0.5562 0.8864
Sb 0.8897 0.2852 0.2479
H 0.0239 0.1039 0.7568
H 0.2476 0.8388 0.5048
H 0.3778 0.9555 0.5618
H 0.4639 0.1215 0.1819

***

Density functional theory data (GGA-PBE) for crystalline Zn2Sb2H at its relaxed geometry.

Results
- total energy (eV/cell) = -25.91
- volume (Å³/cell) = 200.8

a b c (Å): 6.0078 6.0078 5.5626
angles (deg): 90.00 90.00 90.00
Sites, in units of the cell vectors:
Zn 0.2492 0.2508 0.0000
Zn 0.2508 0.7508 0.0000
Zn 0.7492 0.2492 0.0000
Zn 0.7508 0.7492 0.0000
Sb 0.2499 0.2501 0.5000
Sb 0.2501 0.7501 0.5000
Sb 0.7499 0.2499 0.5000
Sb 0.7501 0.7499 0.5000
H 0.0000 0.0000 0.0000
H 0.5000 0.5000 0.0000

***

Density functional theory data (GGA-PBE) for crystalline ZnSbH at its relaxed geometry.

Results
- total energy (eV/cell) = -17.29
- volume (Å³/cell) = 121.1

a b c (Å): 4.6740 4.6851 6.3305
angles (deg): 110.17 109.79 90.67
Sites, in units of the cell vectors:
Zn 0.1981 0.3055 0.4989
Zn 0.8019 0.6945 0.5011
Sb 0.4278 0.9329 0.7450
Sb 0.5722 0.0671 0.2550
H 0.0500 0.4380 0.9882
H 0.9500 0.5620 0.0118

***

Density functional theory data (GGA-PBE) for crystalline ZnSb2H2 at its relaxed geometry.

Results
- total energy (eV/cell) = -31.12
- volume (Å³/cell) = 219.6

a b c (Å): 4.2982 4.6781 10.9228
angles (deg): 89.57 89.98 89.77
Sites, in units of the cell vectors:
Zn 0.1996 0.4951 0.0865
Zn 0.8004 0.5049 0.9135
Sb 0.2452 0.0026 0.6261
Sb 0.2553 0.9936 0.1976
Sb 0.7447 0.0064 0.8024
Sb 0.7548 0.9974 0.3739
H 0.2380 0.4947 0.9314
H 0.2469 0.3752 0.6134
H 0.7531 0.6248 0.3866
H 0.7620 0.5053 0.0686

***

Density functional theory data (GGA-PBE) for crystalline ZrSbH2 at its relaxed geometry.

Results
- total energy (eV/cell) = -42.07
- volume (Å³/cell) = 110.1

a b c (Å): 5.8910 3.5220 5.6745
angles (deg): 90.00 110.76 90.00
Sites, in units of the cell vectors:
Zr 0.0000 0.0000 0.0000
Zr 0.5000 0.5000 0.0000
Sb 0.3075 0.5000 0.4267
Sb 0.8075 0.0000 0.4267
H 0.1215 0.5000 0.8670
H 0.3144 0.0000 0.9318
H 0.6215 0.0000 0.8670
H 0.8144 0.5000 0.9318

***

Density functional theory data (GGA-PBE) for crystalline ZrSbH2 at its relaxed geometry.

Results
- total energy (eV/cell) = -71.82
- volume (Å³/cell) = 212.5

a b c (Å): 5.9673 5.9673 5.9673
angles (deg): 90.00 90.00 90.00
Sites, in units of the cell vectors:
Zr 0.0000 0.0000 0.0000
Zr 0.0000 0.5000 0.5000
Zr 0.5000 0.0000 0.5000
Zr 0.5000 0.5000 0.0000
Sb 0.0000 0.0000 0.5000
Sb 0.0000 0.5000 0.0000
Sb 0.5000 0.0000 0.0000
Sb 0.5000 0.5000 0.5000
H 0.2500 0.2500 0.2500
H 0.2500 0.2500 0.7500
H 0.2500 0.7500 0.2500
H 0.2500 0.7500 0.7500
H 0.7500 0.2500 0.2500
H 0.7500 0.2500 0.7500
H 0.7500 0.7500 0.2500
H 0.7500 0.7500 0.7500